Run 1
## Tl3FeCl6 (PBE)

Data for Tl3FeCl6 after structural relaxation.

Cell and atoms, written as extended XYZ:
```
20
Lattice="-6.6306 -2.5771 -2.9011 4.9921 -6.4717 -5.6608 -1.8174 -4.8668 8.4770" Properties=species:S:1:pos:R:3 pbc="T T T"
Tl 0.0650 -10.4356 -0.4315
Tl -4.5251 -11.4237 0.7647
Tl -2.0035 -6.6571 1.4788
Tl -4.0125 -8.2535 -2.6838
Tl -6.4324 -4.6117 -0.9273
Tl -1.8423 -3.6236 -2.1234
Fe -0.7214 -5.2539 5.6832
Fe 0.1684 -7.5335 -4.4979
Cl 0.7705 -8.0293 1.1237
Cl -2.6678 -9.2889 -0.0716
Cl -0.6250 -7.3304 4.9176
Cl -0.5460 -9.4189 -3.5802
Cl -2.1767 -5.2420 7.3716
Cl -5.3713 -7.1190 3.4156
Cl 1.9637 -6.7779 -3.4793
Cl 0.5630 -7.9576 -6.6504
Cl -1.5647 -3.9739 4.0839
Cl -1.4857 -6.0625 -4.4138
Cl -0.2417 -4.4144 0.2258
Cl -3.6799 -5.6740 -0.9695
```

Properties
ρ: 3.99 g/cm3
Space-group type: Cmc2_1, No. 36
Calculated volume: 36.68 A^3/atom

Run 2
## Tl3FeCl6 (PBE)

Data for Tl3FeCl6 after structural relaxation.

Cell and atoms, written as extended XYZ:
```
20
Lattice="-5.4852 1.3989 -6.0872 -6.3308 -1.4160 5.1977 -0.3482 8.0645 1.9855" Properties=species:S:1:pos:R:3 pbc="T T T"
Tl -8.5852 5.8052 3.5322
Tl -10.2355 3.8576 -0.4844
Tl -4.5414 0.2160 1.7612
Tl -7.6228 7.8314 -0.6653
Tl -1.9287 4.1899 1.5804
Tl -3.5790 2.2422 -2.4362
Fe 0.0000 0.0000 0.0000
Fe -6.0821 4.0237 0.5480
Cl -6.8309 0.4229 3.9254
Cl -5.9925 5.5196 5.3112
Cl -7.9667 3.4314 1.7344
Cl -9.6784 0.7516 -0.5893
Cl -6.1956 6.1500 1.4289
Cl -4.7611 3.3618 2.3163
Cl -7.4031 4.6856 -1.2203
Cl -5.9686 1.8974 -0.3330
Cl -2.4858 7.2958 1.6853
Cl -4.1975 4.6161 -0.6384
Cl -6.1717 2.5278 -4.2152
Cl -5.3333 7.6245 -2.8295
```

Properties
ρ: 5.10 g/cm3
DOS(E_F): 19.166 states/eV per cell
Space-group type: R-3, No. 148
Calculated volume: 28.71 A^3/atom

Top of the stability list: run 1, leading by 0.125 eV/atom.